The following is a DFT calculation (GGA-PBE) of a geometry-optimized MnAl3Bi structure.

Output
Energy of formation in kJ/mol of atoms: 34
E above lowest polymorph in meV per atom: 0.0

abc: 4.731 4.731 4.731
angles: 90.00 90.00 90.00
Space group Pm-3m (No. 221)
Unique sites:
Mn  0.000  0.000  0.000 [1 per cell]
Al  0.000  0.000  0.500 [3 per cell]
Bi  0.500  0.500  0.500 [1 per cell]

=====

The following is a DFT calculation (GGA-PBE) of a geometry-optimized MnTlPtSe structure.

Output
Uncorrected formation energy in eV per formula unit: 0.04
E above lowest polymorph in meV per atom: 170.0

abc: 9.578 4.105 4.890
angles: 90.00 93.54 90.00
Space group Cm (No. 8)
Unique sites:
Mn  0.000  0.000  0.000 [2 per cell]
Tl  0.304  0.000  0.043 [2 per cell]
Pt  0.129  0.500  0.792 [2 per cell]
Se  0.070  0.000  0.499 [2 per cell]